## TbYbPd2 (PBE-GGA)

Data for a relaxed structure of TbYbPd2.

Lattice parameters (Å, degrees): 4.957 4.957 4.957 60.00 60.00 60.00
Last column: magnetic moment on the atom in μB.
Positions (direct):
Yb1 0.000 0.000 0.000  0.23
Tb1 0.500 0.500 0.500  0.00
Pd1 0.250 0.250 0.250  0.00
Pd2 0.750 0.750 0.750  0.00

Magnetic moment ... 0.05 μB/atom
Formation energy from the elements ... -843 meV per atom


## TbZn4Pd4 (PBE-GGA)

Data for a relaxed structure of TbZn4Pd4.

Lattice parameters (Å, degrees): 4.779 8.040 8.040 90.00 90.00 90.00
Positions (direct):
Tb1 0.000 0.000 0.000
Tb2 0.500 0.500 0.500
Zn1 0.501 0.878 0.236
Zn2 0.501 0.122 0.764
Zn3 0.001 0.736 0.622
Zn4 0.999 0.378 0.736
Zn5 0.999 0.622 0.264
Zn6 0.499 0.236 0.122
Zn7 0.499 0.764 0.878
Zn8 0.001 0.264 0.378
Pd1 0.499 0.426 0.850
Pd2 0.999 0.650 0.926
Pd3 0.499 0.574 0.150
Pd4 0.001 0.074 0.650
Pd5 0.501 0.850 0.574
Pd6 0.001 0.926 0.350
Pd7 0.999 0.350 0.074
Pd8 0.501 0.150 0.426

Magnetic moment ... 0.00 μB/atom
Formation energy from the elements ... -425 meV per atom